Compound: Sr2LaV
Source: Alexandria
Functional: PBE
Structure: optimized geometry

Results
D(E_F): 12.7 states/eV/cell
raw total energy: -28.520 eV per cell
energy above the most stable polymorph in this dataset: 113.9 meV/atom

Unit cell a=9.6399 b=9.6399 c=7.6121 alpha=50.71 beta=50.71 gamma=90.00
Atoms (fractional coordinates):
Sr1 0.5681 0.1250 0.2500
Sr2 0.1819 0.6250 0.2500
Sr3 0.3750 0.4319 0.7500
Sr4 0.8750 0.8181 0.7500
La1 0.0000 0.0000 0.0000
La2 0.7500 0.2500 0.5000
V1 0.5000 0.5000 0.0000
V2 0.2500 0.7500 0.5000